This record from Alexandria describes CaPt3Se after structural relaxation. The functional is GGA-PBE.

Cell: 4.9628 4.9628 4.9628 Å, 90.00 90.00 90.00°
Closest atoms and distances in Å follow each position.
Space group Pm-3m (No. 221)
Symmetry-distinct sites (fractional):
1 Ca 0.0000 0.0000 0.0000 x1  6 Pt 2.48
2 Pt 0.0000 0.0000 0.5000 x3  2 Ca 2.48
3 Se 0.5000 0.5000 0.5000 x1  12 Pt 3.51

Values from the calculation:
The density of states at the Fermi level comes out at 5.1 states/eV/f.u. As for the uncorrected formation energy: 1.33 eV/atom. The polymorph energy (0 for the lowest one) is 1.5279 eV/atom.